PBE-GGA K2BaIr, relaxed; symmetry = C2/m, No. 12; calculated formation energy = 0.606 eV per atom; N(E_F) = 4.6 states/eV per cell
1.0
-5.948 3.705 -1.407
2.130 -2.305 6.422
-0.169 3.656 2.981
Ir K Ba
1 2 1
direct
0.000 0.500 0.500 Ir
0.000 0.000 0.000 K
0.500 0.500 0.000 K
0.500 0.000 0.500 Ba